VASP calculation (PBEsol) on ZrCl2 after structural relaxation.

Its total energy is -5.99 eV per atom. The space-group type is R-3.

Unit cell a=7.9454 b=7.9454 c=7.9454 alpha=107.19 beta=107.19 gamma=107.19
Last column: nearest neighbours and their distance in Å.
Fractional coordinates of all 18 atoms:
Zr: 0.1952 0.3964 0.4674  5 Cl 2.50-2.75
Zr: 0.3964 0.4674 0.1952  5 Cl 2.50-2.75
Zr: 0.4674 0.1952 0.3964  5 Cl 2.50-2.75
Zr: 0.5326 0.8048 0.6036  5 Cl 2.50-2.75
Zr: 0.6036 0.5326 0.8048  5 Cl 2.50-2.75
Zr: 0.8048 0.6036 0.5326  5 Cl 2.50-2.75
Cl: 0.0443 0.3527 0.1249  2 Zr 2.50
Cl: 0.1249 0.0443 0.3527  2 Zr 2.50
Cl: 0.1845 0.7290 0.5787  3 Zr 2.56-2.75
Cl: 0.2710 0.4213 0.8155  3 Zr 2.56-2.75
Cl: 0.3527 0.1249 0.0443  2 Zr 2.50
Cl: 0.4213 0.8155 0.2710  3 Zr 2.56-2.75
Cl: 0.5787 0.1845 0.7290  3 Zr 2.56-2.75
Cl: 0.6473 0.8751 0.9557  2 Zr 2.50
Cl: 0.7290 0.5787 0.1845  3 Zr 2.56-2.75
Cl: 0.8155 0.2710 0.4213  3 Zr 2.56-2.75
Cl: 0.8751 0.9557 0.6473  2 Zr 2.50
Cl: 0.9557 0.6473 0.8751  2 Zr 2.50